Sm2CdWO8 | PBE with a Hubbard U | optimized geometry

```
data_Sm2CdWO8
_space_group_name_H-M_alt 'P 1'
_space_group_IT_number 1
_cell_length_a 4.562
_cell_length_b 5.192
_cell_length_c 7.410
_cell_angle_alpha 86.42
_cell_angle_beta 89.52
_cell_angle_gamma 86.55
loop_
_space_group_symop_operation_xyz
'x,y,z'
loop_
_atom_site_label
_atom_site_type_symbol
_atom_site_fract_x
_atom_site_fract_y
_atom_site_fract_z
Sm1 Sm 0.067 0.465 0.249
Sm2 Sm 0.933 0.535 0.751
Cd1 Cd 0.500 0.000 0.000
W1 W 0.500 0.000 0.500
O1 O 0.178 0.253 0.543
O2 O 0.195 0.307 0.977
O3 O 0.278 0.861 0.304
O4 O 0.374 0.750 0.685
O5 O 0.626 0.250 0.315
O6 O 0.722 0.139 0.696
O7 O 0.805 0.693 0.023
O8 O 0.822 0.747 0.457
```

N(E_F) = 5.3 states/eV/f.u.
VASP energy = -6.887 eV per atom